# PBE-GGA K2RbZrTc, optimized geometry
# Fermi-level density of states = 14.84 states/eV/cell
# E = -2.1684 eV per atom
data_K2RbZrTc
_space_group_name_H-M_alt 'P 1'
_space_group_IT_number 1
_cell_length_a 5.9364
_cell_length_b 6.0548
_cell_length_c 5.9364
_cell_angle_alpha 90.00
_cell_angle_beta 90.00
_cell_angle_gamma 90.00
loop_
_space_group_symop_operation_xyz
'x,y,z'
loop_
_atom_site_label
_atom_site_fract_x
_atom_site_fract_y
_atom_site_fract_z
Zr1 0.0000 0.5000 0.0000
K1 0.5000 0.0000 0.0000
Tc1 0.5000 0.5000 0.5000
K2 0.0000 0.0000 0.5000
Rb1 0.0000 0.0000 0.0000

# PBE-GGA KRbTe2, optimized geometry
# Fermi-level density of states = 7.49 states/eV/cell
# energy above the lowest structure with this stoichiometry = 23.7 kJ per mole of atoms
# E_form (uncorrected) = -0.5646 eV/atom
# E = -2.6517 eV per atom
data_KRbTe2
_space_group_name_H-M_alt 'P 1'
_space_group_IT_number 1
_cell_length_a 6.0469
_cell_length_b 6.0469
_cell_length_c 6.0469
_cell_angle_alpha 60.00
_cell_angle_beta 60.00
_cell_angle_gamma 60.00
loop_
_space_group_symop_operation_xyz
'x,y,z'
loop_
_atom_site_label
_atom_site_fract_x
_atom_site_fract_y
_atom_site_fract_z
Te1 0.7500 0.7500 0.7500
Rb1 0.5000 0.5000 0.5000
Te2 0.2500 0.2500 0.2500
K1 0.0000 0.0000 0.0000

# PBE-GGA KRbTe2, optimized geometry
# Fermi-level density of states = 1.16 states/eV/cell
# energy above the lowest structure with this stoichiometry = 11.8 kJ per mole of atoms
# E_form (uncorrected) = -0.6883 eV/atom
# E = -2.7754 eV per atom
data_KRbTe2
_space_group_name_H-M_alt 'P 1'
_space_group_IT_number 1
_cell_length_a 5.1432
_cell_length_b 5.3070
_cell_length_c 5.3070
_cell_angle_alpha 90.00
_cell_angle_beta 90.00
_cell_angle_gamma 90.00
loop_
_space_group_symop_operation_xyz
'x,y,z'
loop_
_atom_site_label
_atom_site_fract_x
_atom_site_fract_y
_atom_site_fract_z
K1 0.5000 0.5000 0.5000
Rb1 0.5000 0.0000 0.0000
Te1 0.0000 0.0000 0.5000
Te2 0.0000 0.5000 0.0000

Please write out number 1 again, unchanged.
# PBE-GGA K2RbZrTc, optimized geometry
# Fermi-level density of states = 14.84 states/eV/cell
# E = -2.1684 eV per atom
data_K2RbZrTc
_space_group_name_H-M_alt 'P 1'
_space_group_IT_number 1
_cell_length_a 5.9364
_cell_length_b 6.0548
_cell_length_c 5.9364
_cell_angle_alpha 90.00
_cell_angle_beta 90.00
_cell_angle_gamma 90.00
loop_
_space_group_symop_operation_xyz
'x,y,z'
loop_
_atom_site_label
_atom_site_fract_x
_atom_site_fract_y
_atom_site_fract_z
Zr1 0.0000 0.5000 0.0000
K1 0.5000 0.0000 0.0000
Tc1 0.5000 0.5000 0.5000
K2 0.0000 0.0000 0.5000
Rb1 0.0000 0.0000 0.0000